# Tb6NdEr12 GGA-PBE optimized geometry
# E_form = 292.5 kJ/mol of formula units
# offset from the most stable computed form = 0.0000 eV/atom
data_Tb6NdEr12
_chemical_formula_sum 'Tb18 Nd3 Er36'
_space_group_name_H-M_alt 'R -3'
_space_group_IT_number 148
_space_group_name_Hall '-R 3'
_cell_length_a 11.8321
_cell_length_b 11.8321
_cell_length_c 15.0800
_cell_angle_alpha 90.00
_cell_angle_beta 90.00
_cell_angle_gamma 120.00
loop_
_atom_site_label
_atom_site_type_symbol
_atom_site_fract_x
_atom_site_fract_y
_atom_site_fract_z
_atom_site_occupancy
Tb1 Tb 0.0076 0.5868 0.1766 1
Nd1 Nd 0.0000 0.0000 0.5000 1
Er1 Er 0.0224 0.1835 0.6920 1
Er2 Er 0.0396 0.1872 0.9156 1